Mg5Si2O8F2 (PBEsol, optimized geometry); calculated total energy = -6.8657 eV per atom; N(E_F) = 0.00 states/eV per cell; formation energy without anion corrections = -50.79 eV/f.u.; crystal system = monoclinic; mass density = 3181 kg/m3; SG = P2_1/c, No. 14
1.0
7.810 0.000 0.000
0.000 4.742 0.000
-3.382 0.000 9.688
Mg Si O F
10 4 16 4
Direct
0.000 0.000 0.000 Mg
0.000 0.500 0.500 Mg
0.198 0.008 0.328 Mg
0.198 0.492 0.828 Mg
0.420 0.007 0.113 Mg
0.420 0.493 0.613 Mg
0.580 0.507 0.387 Mg
0.580 0.993 0.887 Mg
0.802 0.508 0.172 Mg
0.802 0.992 0.672 Mg
0.204 0.576 0.144 Si
0.204 0.924 0.644 Si
0.796 0.076 0.356 Si
0.796 0.424 0.856 Si
0.025 0.725 0.168 O
0.025 0.775 0.668 O
0.207 0.233 0.146 O
0.207 0.267 0.646 O
0.208 0.722 0.999 O
0.208 0.778 0.499 O
0.376 0.731 0.261 O
0.376 0.769 0.761 O
0.624 0.231 0.239 O
0.624 0.269 0.739 O
0.792 0.222 0.501 O
0.792 0.278 0.001 O
0.793 0.733 0.354 O
0.793 0.767 0.854 O
0.975 0.225 0.332 O
0.975 0.275 0.832 O
0.394 0.223 0.940 F
0.394 0.277 0.440 F
0.606 0.723 0.560 F
0.606 0.777 0.060 F